Record 1
Material: CoBiS2
Method: DFT, PBE
State: relaxed

Lattice parameters (Å, degrees): 8.145 8.145 8.145 24.20 24.20 24.20
Fractional positions:
Co 0.000 0.000 0.000
Bi 0.500 0.500 0.500
S 0.380 0.380 0.380
S 0.620 0.620 0.620

Computed properties:
Total magnetization ... 0.0 Bohr magnetons per cell
N(E_F) ... 0.80 states/eV/cell
Raw formation energy ... -312 meV/atom
Calculated total energy ... -5.123 eV/atom

Record 2
Material: ScTlMo
Method: DFT, PBE
State: relaxed

Lattice parameters (Å, degrees): 7.347 7.179 3.028 81.10 74.87 24.03
Fractional positions:
Sc 0.000 0.000 0.000
Tl 0.316 0.316 0.684
Mo 0.651 0.651 0.349

Computed properties:
Total magnetization ... 0.0 Bohr magnetons per cell
N(E_F) ... 2.86 states/eV/cell
E above lowest polymorph ... 27 meV per atom
Calculated total energy ... -6.228 eV/atom
DFT formation energy ... 0.28 eV/atom

Record 3
Material: BaCaCuO3
Method: DFT, PBE
State: relaxed

Lattice parameters (Å, degrees): 6.845 6.845 7.228 104.97 104.97 33.79
Fractional positions:
Ba 0.145 0.145 0.078
Ba 0.855 0.855 0.922
Ca 0.147 0.147 0.568
Ca 0.853 0.853 0.432
Cu 0.498 0.498 0.715
Cu 0.502 0.502 0.285
O 0.001 0.001 0.285
O 0.342 0.342 0.648
O 0.349 0.349 0.201
O 0.651 0.651 0.799
O 0.658 0.658 0.352
O 0.999 0.999 0.715

Computed properties:
Total magnetization ... 0.0 Bohr magnetons per cell
N(E_F) ... 2.19 states/eV/cell
Raw formation energy ... -2031 meV/atom
Calculated total energy ... -5.847 eV/atom

Record 4
Material: LiTmThHg
Method: DFT, PBE
State: relaxed

Lattice parameters (Å, degrees): 5.268 5.268 5.268 60.00 60.00 60.00
Fractional positions:
Li 0.000 0.000 0.000
Tm 0.750 0.750 0.750
Th 0.250 0.250 0.250
Hg 0.500 0.500 0.500

Computed properties:
Total magnetization ... 0.1 Bohr magnetons per cell
N(E_F) ... 5.32 states/eV/cell
Calculated total energy ... -3.579 eV/atom
DFT formation energy ... -0.05 eV/atom

Record 5
Material: CeGdTmPu
Method: DFT, PBE
State: relaxed

Lattice parameters (Å, degrees): 5.523 5.523 5.523 60.00 60.00 60.00
Fractional positions:
Ce 0.000 0.000 0.000
Gd 0.500 0.500 0.500
Tm 0.250 0.250 0.250
Pu 0.750 0.750 0.750

Computed properties:
Total magnetization ... 15.6 Bohr magnetons per cell
N(E_F) ... 10.39 states/eV/cell
Calculated total energy ... -9.534 eV/atom
DFT formation energy ... 0.17 eV/atom

Record 6
Material: BaTaRe2
Method: DFT, PBE
State: relaxed

Lattice parameters (Å, degrees): 9.592 9.592 9.592 149.36 149.36 43.88
Fractional positions:
Ba 0.375 0.625 0.750
Ba 0.625 0.375 0.250
Ta 0.125 0.875 0.250
Ta 0.875 0.125 0.750
Re 0.000 0.000 0.000
Re 0.000 0.000 0.500
Re 0.000 0.500 0.000
Re 0.500 0.000 0.500

Computed properties:
Total magnetization ... 0.0 Bohr magnetons per cell
N(E_F) ... 11.02 states/eV/cell
E above lowest polymorph ... 586 meV per atom
Calculated total energy ... -8.432 eV/atom
DFT formation energy ... 1.24 eV/atom

Record 7
Material: Mn2NiHBr
Method: DFT, PBE
State: relaxed

Lattice parameters (Å, degrees): 4.866 4.866 3.258 90.00 90.00 90.00
Fractional positions:
Mn 0.000 0.500 0.000
Mn 0.500 0.000 0.000
Ni 0.000 0.000 0.000
H 0.000 0.000 0.500
Br 0.500 0.500 0.500

Computed properties:
Total magnetization ... 8.7 Bohr magnetons per cell
N(E_F) ... 2.66 states/eV/cell
Calculated total energy ... -5.328 eV/atom

Record 8
Material: CeDyIr2
Method: DFT, PBE
State: relaxed

Lattice parameters (Å, degrees): 3.457 3.457 6.971 90.00 90.00 90.00
Fractional positions:
Ce 0.000 0.000 0.000
Dy 0.000 0.000 0.500
Ir 0.500 0.500 0.246
Ir 0.500 0.500 0.754

Computed properties:
Total magnetization ... 0.0 Bohr magnetons per cell
N(E_F) ... 2.72 states/eV/cell
Calculated total energy ... -7.804 eV/atom
DFT formation energy ... -0.74 eV/atom

What did the third record say?
Material: BaCaCuO3
Method: DFT, PBE
State: relaxed

Lattice parameters (Å, degrees): 6.845 6.845 7.228 104.97 104.97 33.79
Fractional positions:
Ba 0.145 0.145 0.078
Ba 0.855 0.855 0.922
Ca 0.147 0.147 0.568
Ca 0.853 0.853 0.432
Cu 0.498 0.498 0.715
Cu 0.502 0.502 0.285
O 0.001 0.001 0.285
O 0.342 0.342 0.648
O 0.349 0.349 0.201
O 0.651 0.651 0.799
O 0.658 0.658 0.352
O 0.999 0.999 0.715

Computed properties:
Total magnetization ... 0.0 Bohr magnetons per cell
N(E_F) ... 2.19 states/eV/cell
Raw formation energy ... -2031 meV/atom
Calculated total energy ... -5.847 eV/atom